<P>
A plane-wave DFT calculation with PBE with a Hubbard U was carried out for crystalline VPIO2 at its relaxed geometry.

The structure in extended XYZ format:
```
5
Lattice="-0.2952 3.7228 0.4243 -0.5761 0.3755 -3.6951 -7.5683 -0.7262 1.1063" Properties=species:S:1:pos:R:3 pbc="T T T"
I -3.7842 -0.3631 0.5531
P -4.2198 1.6860 -1.0822
O -0.2881 0.1877 -1.8475
O -0.1476 1.8614 0.2122
V 0.0000 0.0000 0.0000
```

Properties
**Magnetization**: 0.89 μB per formula unit
**DOS(E_F)**: 2.428 states/eV/cell

=====

<Q>
A plane-wave DFT calculation with PBE with a Hubbard U was carried out for crystalline VPIO2 at its relaxed geometry.

The structure in extended XYZ format:
```
5
Lattice="-2.2619 -3.0372 -0.5869 0.3057 -0.9430 3.7017 -4.3980 3.0548 1.1413" Properties=species:S:1:pos:R:3 pbc="T T T"
I -2.1990 1.5274 0.5707
P 0.0000 0.0000 0.0000
O 0.1528 -0.4715 1.8509
O -1.1310 -1.5186 -0.2935
V -3.1771 -0.4627 2.1281
```

Properties
**Magnetization**: 3.46 μB per formula unit
**DOS(E_F)**: 1.579 states/eV/cell

=====

Tell me which of them is the most stable. Sure, it is <P>.

=====

<P>
A plane-wave DFT calculation with PBE with a Hubbard U was carried out for crystalline VPIO2 at its relaxed geometry.

The structure in extended XYZ format:
```
5
Lattice="3.7971 0.0000 0.0000 0.0000 3.7971 0.0000 0.0000 0.0000 5.4922" Properties=species:S:1:pos:R:3 pbc="T T T"
I 1.8986 1.8986 2.7461
P 0.0000 0.0000 2.7461
O 0.0000 1.8986 0.0000
O 1.8986 0.0000 0.0000
V 0.0000 0.0000 0.0000
```

Properties
**Magnetization**: 0.55 μB per formula unit
**DOS(E_F)**: 2.010 states/eV/cell

=====

<Q>
A plane-wave DFT calculation with PBE with a Hubbard U was carried out for crystalline VPIO2 at its relaxed geometry.

The structure in extended XYZ format:
```
5
Lattice="4.0023 0.0000 0.0000 0.0000 4.0023 0.0000 0.0000 0.0000 5.4370" Properties=species:S:1:pos:R:3 pbc="T T T"
I 0.0000 0.0000 0.0000
P 0.0000 0.0000 2.7185
O 0.0000 2.0011 0.0000
O 2.0011 0.0000 0.0000
V 2.0011 2.0011 2.7185
```

Properties
**Magnetization**: 3.00 μB per formula unit
**DOS(E_F)**: 0.075 states/eV/cell

=====

Tell me which of them is the most stable. Sure, it is <P>.

=====

<P>
A plane-wave DFT calculation with PBE with a Hubbard U was carried out for crystalline P2WIO at its relaxed geometry.

The structure in extended XYZ format:
```
5
Lattice="-4.9126 0.2989 -1.2471 -1.1317 -3.3325 3.6596 -0.4629 2.9310 2.5259" Properties=species:S:1:pos:R:3 pbc="T T T"
I 0.0000 0.0000 0.0000
P -0.5659 -1.6662 1.8298
P -2.4563 0.1495 -0.6235
O -0.2314 1.4655 1.2630
W -3.2536 -0.0512 2.4692
```

Properties
**Magnetization**: 3.10 μB per formula unit
**DOS(E_F)**: 2.296 states/eV/cell

=====

<Q>
A plane-wave DFT calculation with PBE with a Hubbard U was carried out for crystalline P2WIO at its relaxed geometry.

The structure in extended XYZ format:
```
5
Lattice="4.9804 0.0000 0.0000 0.0000 4.9804 0.0000 0.0000 0.0000 3.8791" Properties=species:S:1:pos:R:3 pbc="T T T"
I 2.4902 2.4902 1.9395
P 0.0000 2.4902 0.0000
P 2.4902 0.0000 0.0000
O 0.0000 0.0000 1.9395
W 0.0000 0.0000 0.0000
```

Properties
**Magnetization**: 0.35 μB per formula unit
**DOS(E_F)**: 2.753 states/eV/cell

=====

Tell me which of them is the most stable. Sure, it is <Q>.

=====

<P>
A plane-wave DFT calculation with PBE with a Hubbard U was carried out for crystalline PWIO2 at its relaxed geometry.

The structure in extended XYZ format:
```
5
Lattice="-0.9483 3.6847 0.7785 -3.7543 -0.8614 -0.4960 -0.4486 -1.3158 5.6811" Properties=species:S:1:pos:R:3 pbc="T T T"
I -0.2243 -0.6579 2.8405
P 0.0000 0.0000 0.0000
O -1.8771 -0.4307 -0.2480
O -0.4741 1.8424 0.3893
W -2.5756 0.7538 2.9818
```

Properties
**Magnetization**: 4.65 μB per formula unit
**DOS(E_F)**: 2.174 states/eV/cell

=====

<Q>
A plane-wave DFT calculation with PBE with a Hubbard U was carried out for crystalline PWIO2 at its relaxed geometry.

The structure in extended XYZ format:
```
5
Lattice="-1.2521 0.0085 -3.6803 3.5573 -0.9940 -1.2126 -1.9087 -7.6020 0.6319" Properties=species:S:1:pos:R:3 pbc="T T T"
I -0.9544 -3.8010 0.3160
P 0.1982 -4.2937 -2.1305
O 1.7787 -0.4970 -0.6063
O -0.6261 0.0042 -1.8402
W 0.0000 0.0000 0.0000
```

Properties
**Magnetization**: 1.78 μB per formula unit
**DOS(E_F)**: 2.417 states/eV/cell

=====

<R>
A plane-wave DFT calculation with PBE with a Hubbard U was carried out for crystalline PWIO2 at its relaxed geometry.

The structure in extended XYZ format:
```
5
Lattice="-2.7507 -0.8167 -2.6872 0.6533 -3.8442 0.4995 -3.8534 -0.1369 3.9862" Properties=species:S:1:pos:R:3 pbc="T T T"
I -2.9754 -2.3989 0.8993
P -1.9267 -0.0685 1.9931
O 0.3267 -1.9221 0.2498
O -1.3754 -0.4083 -1.3436
W 0.0000 0.0000 0.0000
```

Properties
**Magnetization**: 0.98 μB per formula unit
**DOS(E_F)**: 1.715 states/eV/cell

=====

<S>
A plane-wave DFT calculation with PBE with a Hubbard U was carried out for crystalline PWIO2 at its relaxed geometry.

The structure in extended XYZ format:
```
5
Lattice="3.9765 0.0000 0.0000 0.0000 3.9765 0.0000 0.0000 0.0000 5.6733" Properties=species:S:1:pos:R:3 pbc="T T T"
I 0.0000 0.0000 0.0000
P 0.0000 0.0000 2.8366
O 0.0000 1.9882 0.0000
O 1.9882 0.0000 0.0000
W 1.9882 1.9882 2.8366
```

Properties
**Magnetization**: 4.01 μB per formula unit
**DOS(E_F)**: 0.271 states/eV/cell

=====

Tell me which of them is the most stable. Sure, it is <R>.

=====

<P>
A plane-wave DFT calculation with PBE with a Hubbard U was carried out for crystalline PWI2O at its relaxed geometry.

The structure in extended XYZ format:
```
5
Lattice="-3.8406 -4.0525 -1.1263 3.7345 -3.9872 1.6115 -1.3034 0.2345 3.6007" Properties=species:S:1:pos:R:3 pbc="T T T"
I 1.8673 -1.9936 0.8057
I -1.9203 -2.0262 -0.5632
P -0.7047 -3.9026 2.0430
O -0.6517 0.1172 1.8004
W 0.0000 0.0000 0.0000
```

Properties
**Magnetization**: 0.45 μB per formula unit
**DOS(E_F)**: 1.647 states/eV/cell

=====

<Q>
A plane-wave DFT calculation with PBE with a Hubbard U was carried out for crystalline PWI2O at its relaxed geometry.

The structure in extended XYZ format:
```
5
Lattice="5.7906 0.0000 0.0000 0.0000 5.7906 0.0000 0.0000 0.0000 3.5692" Properties=species:S:1:pos:R:3 pbc="T T T"
I 0.0000 2.8953 0.0000
I 2.8953 0.0000 0.0000
P 0.0000 0.0000 0.0000
O 0.0000 0.0000 1.7846
W 2.8953 2.8953 1.7846
```

Properties
**Magnetization**: 4.78 μB per formula unit
**DOS(E_F)**: 1.023 states/eV/cell

=====

Tell me which of them is the most stable. Sure, it is <P>.